# BaMgZn2

A relaxed BaMgZn2 crystal (PBE-GGA, the Alexandria database).

ΔH_f (0 K) ... -0.11 eV/atom

Cell lengths 4.0282, 4.3608, 6.6978 Å; angles 90.00, 107.49, 90.00 degrees
Closest atoms and distances in Å follow each position.
Fractional coordinates of all 4 atoms:
Ba1 0.0000 0.0000 0.0000  7 Zn 3.40-3.60
Mg1 0.7116 0.5000 0.4215  6 Zn 2.86-3.06
Zn1 0.2693 0.0000 0.5342  2 Zn 2.54
Zn2 0.3699 0.5000 0.7392  2 Zn 2.54